(1)
AsIrSBr2 | SCAN | single point on PBEsol structure

- ΔE_f (raw) (eV/atom) = 1.50
- raw total energy (eV per atom) = -26.464
- size of the total moment (μB/cell) = 2.0

Geometry as CIF:
```
data_AsIrSBr2
_cell_length_a 4.721
_cell_length_b 4.721
_cell_length_c 4.967
_cell_angle_alpha 90.00
_cell_angle_beta 90.00
_cell_angle_gamma 90.00
_symmetry_space_group_name_H-M 'P 4/m m m'
_symmetry_Int_Tables_number 123
_symmetry_space_group_name_Hall '-P 4 2'
loop_
_atom_site_label
_atom_site_type_symbol
_atom_site_fract_x
_atom_site_fract_y
_atom_site_fract_z
As1 As 0.000 0.000 0.000
Ir1 Ir 0.500 0.500 0.000
S1 S 0.000 0.000 0.500
Br1 Br 0.000 0.500 0.500
```


(2)
SrTl3Ru | SCAN | single point on PBEsol structure

- energy of formation from the pure elements (meV/atom) = 1538
- raw total energy (eV per atom) = -53.298
- size of the total moment (μB/cell) = 2.0

Geometry as CIF:
```
data_SrTl3Ru
_cell_length_a 5.842
_cell_length_b 5.842
_cell_length_c 5.842
_cell_angle_alpha 90.00
_cell_angle_beta 90.00
_cell_angle_gamma 90.00
_symmetry_space_group_name_H-M 'P m -3 m'
_symmetry_Int_Tables_number 221
_symmetry_space_group_name_Hall '-P 4 2 3'
loop_
_atom_site_label
_atom_site_type_symbol
_atom_site_fract_x
_atom_site_fract_y
_atom_site_fract_z
Sr1 Sr 0.000 0.000 0.000
Tl1 Tl 0.000 0.000 0.500
Ru1 Ru 0.500 0.500 0.500
```


(3)
ZnInRe3 | SCAN | single point on PBEsol structure

- energy of formation from the pure elements (meV/atom) = 3299
- raw total energy (eV per atom) = -48.740
- size of the total moment (μB/cell) = 0.0

Geometry as CIF:
```
data_ZnInRe3
_cell_length_a 4.758
_cell_length_b 4.758
_cell_length_c 4.758
_cell_angle_alpha 90.00
_cell_angle_beta 90.00
_cell_angle_gamma 90.00
_symmetry_space_group_name_H-M 'P m -3 m'
_symmetry_Int_Tables_number 221
_symmetry_space_group_name_Hall '-P 4 2 3'
loop_
_atom_site_label
_atom_site_type_symbol
_atom_site_fract_x
_atom_site_fract_y
_atom_site_fract_z
Zn1 Zn 0.000 0.000 0.000
In1 In 0.500 0.500 0.500
Re1 Re 0.000 0.500 0.500
```


(4)
Zr2FeP | SCAN | single point on PBEsol structure

- energy of formation from the pure elements (meV/atom) = -441
- raw total energy (eV per atom) = -22.923
- size of the total moment (μB/cell) = 1.5

Geometry as CIF:
```
data_Zr2FeP
_cell_length_a 3.653
_cell_length_b 3.653
_cell_length_c 9.519
_cell_angle_alpha 90.00
_cell_angle_beta 90.00
_cell_angle_gamma 90.00
_symmetry_space_group_name_H-M 'I -4 m 2'
_symmetry_Int_Tables_number 119
_symmetry_space_group_name_Hall 'I -4 -2'
loop_
_atom_site_label
_atom_site_type_symbol
_atom_site_fract_x
_atom_site_fract_y
_atom_site_fract_z
Zr1 Zr 0.000 0.000 0.000
Zr2 Zr 0.000 0.500 0.250
Fe1 Fe 0.000 0.000 0.500
P1 P 0.000 0.500 0.750
```


(5)
LiPb2Se | SCAN | single point on PBEsol structure

- ΔE_f (raw) (eV/atom) = -0.28
- raw total energy (eV per atom) = -43.784
- size of the total moment (μB/cell) = 0.0

Geometry as CIF:
```
data_LiPb2Se
_cell_length_a 6.556
_cell_length_b 8.000
_cell_length_c 3.722
_cell_angle_alpha 90.00
_cell_angle_beta 90.00
_cell_angle_gamma 90.00
_symmetry_space_group_name_H-M 'C m m m'
_symmetry_Int_Tables_number 65
_symmetry_space_group_name_Hall '-C 2 2'
loop_
_atom_site_label
_atom_site_type_symbol
_atom_site_fract_x
_atom_site_fract_y
_atom_site_fract_z
Li1 Li 0.000 0.000 0.000
Pb1 Pb 0.250 0.250 0.500
Se1 Se 0.000 0.500 0.000
```


(6)
InPO2F | SCAN | single point on PBEsol structure

- ΔE_f (raw) (eV/atom) = -1.06
- raw total energy (eV per atom) = -13.015
- size of the total moment (μB/cell) = 0.0

Geometry as CIF:
```
data_InPO2F
_cell_length_a 3.498
_cell_length_b 3.498
_cell_length_c 5.403
_cell_angle_alpha 90.00
_cell_angle_beta 90.00
_cell_angle_gamma 90.00
_symmetry_space_group_name_H-M 'P 4/m m m'
_symmetry_Int_Tables_number 123
_symmetry_space_group_name_Hall '-P 4 2'
loop_
_atom_site_label
_atom_site_type_symbol
_atom_site_fract_x
_atom_site_fract_y
_atom_site_fract_z
In1 In 0.000 0.000 0.000
P1 P 0.500 0.500 0.500
O1 O 0.000 0.500 0.500
F1 F 0.500 0.500 0.000
```